# La6Tb5Sm2

An optimized crystal structure of La6Tb5Sm2 (PBE, Alexandria).

For the formation enthalpy at 0 K, the calculation gives 0.11 eV/atom.

It has space group Pbam (No. 55), with a = 11.924 Å, b = 20.916 Å, c = 3.671 Å, α = 90.00°, β = 90.00° and γ = 90.00°. The inequivalent atoms are La at (0.057, 0.079, 0.000), La at (0.080, 0.366, 0.000), La at (0.177, 0.631, 0.500), Tb at (0.000, 0.500, 0.500), Tb at (0.093, 0.225, 0.500), Tb at (0.201, 0.943, 0.500) and Sm at (0.166, 0.788, 0.000).

# La3Tb4Sm4

An optimized crystal structure of La3Tb4Sm4 (PBE, Alexandria).

As for the polymorph energy (0 for the lowest one): 5.2 meV per atom. For the formation enthalpy at 0 K, the calculation gives 0.16 eV/atom.

It has space group Immm (No. 71), with a = 3.598 Å, b = 11.438 Å, c = 18.781 Å, α = 90.00°, β = 90.00° and γ = 90.00°. The inequivalent atoms are La at (0.000, 0.000, 0.000), La at (0.000, 0.500, 0.108), Tb at (0.000, 0.255, 0.328), Sm at (0.000, 0.000, 0.216) and Sm at (0.000, 0.212, 0.500).

# La3Tb7Sm2

An optimized crystal structure of La3Tb7Sm2 (PBE, Alexandria).

For the formation enthalpy at 0 K, the calculation gives 0.09 eV/atom.

It has space group C2/m (No. 12), with a = 38.808 Å, b = 3.632 Å, c = 5.808 Å, α = 90.00°, β = 93.17° and γ = 90.00°. The inequivalent atoms are La at (0.000, 0.000, 0.000), La at (0.179, 0.500, 0.725), Tb at (0.000, 0.500, 0.500), Tb at (0.071, 0.500, 0.190), Tb at (0.086, 0.000, 0.694), Tb at (0.229, 0.000, 0.243) and Sm at (0.144, 0.000, 0.215).

- What is the formation enthalpy at 0 K in the third record?
  0.09 eV/atom

- formation enthalpy at 0 K of number 1 (La6Tb5Sm2)?
  0.11 eV/atom

- The highest formation enthalpy at 0 K belongs to which entry?
  La3Tb4Sm4